[1]
First-principles (PBE) data for TaCr2Si after structural relaxation, as listed in Alexandria via LeMat-Bulk.

Calculated values
Its crystal system is cubic. The uncorrected energy comes out at -145.74 eV per cell. As for the uncorrected formation energy: 0.022 eV per atom.

abc: 6.0058 6.0058 6.0058
angles: 90.00 90.00 90.00
Space group F-43m (No. 216)
Asymmetric unit:
Ta1 0.0000 0.0000 0.0000 [4 per cell]
Cr1 0.0000 0.0000 0.5000 [4 per cell]
Cr2 0.2500 0.2500 0.2500 [4 per cell]
Si1 0.2500 0.2500 0.7500 [4 per cell]

---

[2]
First-principles (PBE) data for AcYSi2Pd2 after structural relaxation, as listed in Alexandria via LeMat-Bulk.

Calculated values
Its crystal system is trigonal. The uncorrected energy comes out at -37.22 eV per cell. As for the uncorrected formation energy: -0.903 eV per atom.

abc: 4.2646 4.2646 8.4026
angles: 90.00 90.00 120.00
Space group P-3m1 (No. 164)
Asymmetric unit:
Ac1 0.0000 0.0000 0.0000 [1 per cell]
Y1 0.0000 0.0000 0.5000 [1 per cell]
Si1 0.3333 0.6667 0.2689 [2 per cell]
Pd1 0.3333 0.6667 0.7226 [2 per cell]

---

[3]
First-principles (PBE) data for TaInBiRu2 after structural relaxation, as listed in Alexandria via LeMat-Bulk.

Calculated values
As for the energy of formation from the pure elements: 2.08 eV/atom. Its crystal system is tetragonal. The uncorrected energy comes out at -26.61 eV per cell.

abc: 4.8059 4.8059 5.2744
angles: 90.00 90.00 90.00
Space group P4/mmm (No. 123)
Asymmetric unit:
Ta1 0.0000 0.0000 0.0000 [1 per cell]
In1 0.5000 0.5000 0.5000 [1 per cell]
Bi1 0.5000 0.5000 0.0000 [1 per cell]
Ru1 0.0000 0.5000 0.5000 [2 per cell]

---

[4]
First-principles (PBE) data for HfCCl2 after structural relaxation, as listed in Alexandria via LeMat-Bulk.

Calculated values
Its crystal system is cubic. The uncorrected energy comes out at -79.32 eV per cell. As for the uncorrected formation energy: 0.760 eV per atom.

abc: 6.2239 6.2239 6.2239
angles: 90.00 90.00 90.00
Space group Fm-3m (No. 225)
Asymmetric unit:
Hf1 0.0000 0.0000 0.0000 [4 per cell]
C1 0.0000 0.0000 0.5000 [4 per cell]
Cl1 0.2500 0.2500 0.2500 [8 per cell]

---

[5]
First-principles (PBE) data for KSb2PbAu4 after structural relaxation, as listed in Alexandria via LeMat-Bulk.

Calculated values
Its crystal system is tetragonal. The uncorrected energy comes out at -27.42 eV per cell. As for the uncorrected formation energy: -0.157 eV per atom.

abc: 5.0730 5.0730 8.3875
angles: 90.00 90.00 90.00
Space group P4/mmm (No. 123)
Asymmetric unit:
K1 0.0000 0.0000 0.0000 [1 per cell]
Sb1 0.5000 0.5000 0.1827 [2 per cell]
Pb1 0.0000 0.0000 0.5000 [1 per cell]
Au1 0.0000 0.5000 0.3108 [4 per cell]

---

[6]
First-principles (PBE) data for Cs2AlGaRu after structural relaxation, as listed in Alexandria via LeMat-Bulk.

Calculated values
As for the energy of formation from the pure elements: 1.20 eV/atom. Its crystal system is tetragonal. The uncorrected energy comes out at -11.74 eV per cell.

abc: 7.3630 7.3630 4.6308
angles: 90.00 90.00 90.00
Space group P4/mmm (No. 123)
Asymmetric unit:
Cs1 0.0000 0.5000 0.0000 [2 per cell]
Al1 0.0000 0.0000 0.5000 [1 per cell]
Ga1 0.0000 0.0000 0.0000 [1 per cell]
Ru1 0.5000 0.5000 0.5000 [1 per cell]

---

[7]
First-principles (PBE) data for SrBeFeCl2 after structural relaxation, as listed in Alexandria via LeMat-Bulk.

Calculated values
Its crystal system is tetragonal. The uncorrected energy comes out at -16.17 eV per cell. As for the uncorrected formation energy: 0.279 eV per atom.

abc: 5.4567 5.4567 7.0231
angles: 90.00 90.00 90.00
Space group P4/mmm (No. 123)
Asymmetric unit:
Sr1 0.0000 0.0000 0.0000 [1 per cell]
Be1 0.5000 0.5000 0.5000 [1 per cell]
Fe1 0.0000 0.0000 0.5000 [1 per cell]
Cl1 0.0000 0.5000 0.0000 [2 per cell]

---

[8]
First-principles (PBE) data for Ce2Cd16In after structural relaxation, as listed in Alexandria via LeMat-Bulk.

Calculated values
As for the energy of formation from the pure elements: -0.12 eV/atom. Its crystal system is trigonal. The uncorrected energy comes out at -94.53 eV per cell.

abc: 10.1656 10.1656 14.9199
angles: 90.00 90.00 120.00
Space group R3m (No. 160, hexagonal axes)
Asymmetric unit:
Ce1 0.0000 0.0000 0.0000 [3 per cell]
Ce2 0.0000 0.0000 0.3366 [3 per cell]
Cd1 0.0000 0.0000 0.5745 [3 per cell]
Cd2 0.0013 0.3051 0.6695 [18 per cell]
Cd3 0.0012 0.5006 0.5214 [9 per cell]
Cd4 0.0215 0.5107 0.1663 [9 per cell]
Cd5 0.0323 0.5162 0.8215 [9 per cell]
In1 0.0000 0.0000 0.7739 [3 per cell]

---

[9]
First-principles (PBE) data for Dy5SiS5 after structural relaxation, as listed in Alexandria via LeMat-Bulk.

Calculated values
Its crystal system is monoclinic. The uncorrected energy comes out at -138.79 eV per cell. As for the uncorrected formation energy: -1.848 eV per atom.

abc: 12.5449 5.5704 7.9203
angles: 90.00 108.36 90.00
Space group C2/m (No. 12)
Asymmetric unit:
Dy1 0.0000 0.0000 0.0000 [2 per cell]
Dy2 0.1606 0.5000 0.8245 [4 per cell]
Dy3 0.1649 0.5000 0.3359 [4 per cell]
Si1 0.0000 0.5000 0.0000 [2 per cell]
S1 0.0000 0.5000 0.5000 [2 per cell]
S2 0.1709 0.0000 0.3331 [4 per cell]
S3 0.1725 0.0000 0.8412 [4 per cell]

---

[10]
First-principles (PBE) data for TaNiOs after structural relaxation, as listed in Alexandria via LeMat-Bulk.

Calculated values
As for the energy of formation from the pure elements: -0.12 eV/atom. Its crystal system is triclinic. The uncorrected energy comes out at -58.46 eV per cell.

abc: 4.6254 4.7547 4.9996
angles: 95.80 107.81 118.49
Space group P-1 (No. 2)
Asymmetric unit:
Ta1 0.0568 0.3762 0.2499 [2 per cell]
Ni1 0.4003 0.0745 0.2802 [2 per cell]
Os1 0.2851 0.2667 0.7615 [2 per cell]

---

[11]
First-principles (PBE) data for Zn2CoMo after structural relaxation, as listed in Alexandria via LeMat-Bulk.

Calculated values
As for the energy of formation from the pure elements: 0.22 eV/atom. Its crystal system is tetragonal. The uncorrected energy comes out at -39.18 eV per cell.

abc: 3.7604 3.7604 7.8285
angles: 90.00 90.00 90.00
Space group I4/mmm (No. 139)
Asymmetric unit:
Zn1 0.0000 0.5000 0.2500 [4 per cell]
Co1 0.0000 0.0000 0.0000 [2 per cell]
Mo1 0.0000 0.0000 0.5000 [2 per cell]

---

[12]
First-principles (PBE) data for Ba2LiPI after structural relaxation, as listed in Alexandria via LeMat-Bulk.

Calculated values
Its crystal system is tetragonal. The uncorrected energy comes out at -17.45 eV per cell. As for the uncorrected formation energy: -0.945 eV per atom.

abc: 6.3426 6.3426 4.6735
angles: 90.00 90.00 90.00
Space group P4/mmm (No. 123)
Asymmetric unit:
Ba1 0.0000 0.5000 0.0000 [2 per cell]
Li1 0.0000 0.0000 0.5000 [1 per cell]
P1 0.0000 0.0000 0.0000 [1 per cell]
I1 0.5000 0.5000 0.5000 [1 per cell]

---

Question: Among the records above, which one has the lowest uncorrected energy?
Answer: TaCr2Si